First-principles (GGA+U) data for a relaxed FeH10N2OF5 crystal, as listed in Alexandria.

ρ: 2.0 g cm⁻³
Volume: 9.1 Å³ per atom
Total DFT energy (no corrections): -380.23 eV/cell

abc: 10.9081 8.2230 7.7243
angles: 90.00 90.00 90.00
Last column: nearest neighbours and their distance in Å.
Fractional positions:
1 Fe 0.0000 0.1947 0.2500  5 F 1.93-1.99, 1 O 2.02
2 Fe 0.0000 0.8053 0.7500  5 F 1.93-1.99, 1 O 2.02
3 Fe 0.5000 0.3053 0.7500  5 F 1.93-1.99, 1 O 2.02
4 Fe 0.5000 0.6947 0.2500  5 F 1.93-1.99, 1 O 2.02
5 H 0.0245 0.1175 0.6469  1 O 1.01
6 H 0.0245 0.8825 0.1469  1 O 1.01
7 H 0.1172 0.4980 0.8856  1 N 1.04
8 H 0.1172 0.5020 0.3856  1 N 1.04
9 H 0.1821 0.3586 0.0240  1 N 1.04
10 H 0.1821 0.6414 0.5240  1 N 1.04
11 H 0.2450 0.4549 0.5031  1 N 1.04
12 H 0.2450 0.5451 0.0031  1 N 1.04
13 H 0.2466 0.0917 0.3390  1 N 1.04
14 H 0.2466 0.9083 0.8390  1 N 1.04
15 H 0.2534 0.4083 0.8390  1 N 1.04
16 H 0.2534 0.5917 0.3390  1 N 1.04
17 H 0.2550 0.0451 0.0031  1 N 1.04
18 H 0.2550 0.9549 0.5031  1 N 1.04
19 H 0.3179 0.1414 0.5240  1 N 1.04
20 H 0.3179 0.8586 0.0240  1 N 1.04
21 H 0.3828 0.0020 0.3856  1 N 1.04
22 H 0.3828 0.9980 0.8856  1 N 1.04
23 H 0.4755 0.3825 0.1469  1 O 1.01
24 H 0.4755 0.6175 0.6469  1 O 1.01
25 H 0.5245 0.3825 0.3531  1 O 1.01
26 H 0.5245 0.6175 0.8531  1 O 1.01
27 H 0.6172 0.0020 0.1144  1 N 1.04
28 H 0.6172 0.9980 0.6144  1 N 1.04
29 H 0.6821 0.1414 0.9760  1 N 1.04
30 H 0.6821 0.8586 0.4760  1 N 1.04
31 H 0.7450 0.0451 0.4969  1 N 1.04
32 H 0.7450 0.9549 0.9969  1 N 1.04
33 H 0.7466 0.4083 0.6610  1 N 1.04
34 H 0.7466 0.5917 0.1610  1 N 1.04
35 H 0.7534 0.0917 0.1610  1 N 1.04
36 H 0.7534 0.9083 0.6610  1 N 1.04
37 H 0.7550 0.4549 0.9969  1 N 1.04
38 H 0.7550 0.5451 0.4969  1 N 1.04
39 H 0.8179 0.3586 0.4760  1 N 1.04
40 H 0.8179 0.6414 0.9760  1 N 1.04
41 H 0.8828 0.4980 0.6144  1 N 1.04
42 H 0.8828 0.5020 0.1144  1 N 1.04
43 H 0.9755 0.1175 0.8531  1 O 1.01
44 H 0.9755 0.8825 0.3531  1 O 1.01
45 N 0.1987 0.4537 0.9379  4 H 1.04
46 N 0.1987 0.5463 0.4379  4 H 1.04
47 N 0.3013 0.0463 0.4379  4 H 1.04
48 N 0.3013 0.9537 0.9379  4 H 1.04
49 N 0.6987 0.0463 0.0621  4 H 1.04
50 N 0.6987 0.9537 0.5621  4 H 1.04
51 N 0.8013 0.4537 0.5621  4 H 1.04
52 N 0.8013 0.5463 0.0621  4 H 1.04
53 O 0.0000 0.0503 0.7500  2 H 1.01
54 O 0.0000 0.9497 0.2500  2 H 1.01
55 O 0.5000 0.4497 0.2500  2 H 1.01
56 O 0.5000 0.5503 0.7500  2 H 1.01
57 F 0.0000 0.4329 0.2500  2 H 1.75
58 F 0.0000 0.5671 0.7500  2 H 1.75
59 F 0.0657 0.2052 0.4823  1 H 1.53
60 F 0.0657 0.7948 0.9823  1 H 1.53
61 F 0.1702 0.1873 0.1560  3 H 1.74-1.90
62 F 0.1702 0.8127 0.6560  3 H 1.74-1.90
63 F 0.3298 0.3127 0.6560  3 H 1.74-1.90
64 F 0.3298 0.6873 0.1560  3 H 1.74-1.90
65 F 0.4343 0.2948 0.9823  1 H 1.53
66 F 0.4343 0.7052 0.4823  1 H 1.53
67 F 0.5000 0.0671 0.7500  2 H 1.75
68 F 0.5000 0.9329 0.2500  2 H 1.75
69 F 0.5657 0.2948 0.5177  1 H 1.53
70 F 0.5657 0.7052 0.0177  1 H 1.53
71 F 0.6702 0.3127 0.8440  3 H 1.74-1.90
72 F 0.6702 0.6873 0.3440  3 H 1.74-1.90
73 F 0.8298 0.1873 0.3440  3 H 1.74-1.90
74 F 0.8298 0.8127 0.8440  3 H 1.74-1.90
75 F 0.9343 0.2052 0.0177  1 H 1.53
76 F 0.9343 0.7948 0.5177  1 H 1.53